## K2Tl6InPd (GGA-PBE)

Data for K2Tl6InPd after structural relaxation.

Cell: 7.5125 7.5257 8.0420 Å, 62.53 62.24 60.36°
Last column: nearest neighbours and their distance in Å.
Space group P-1 (No. 2)
Inequivalent atoms, fractional coordinates:
K  0.1796  0.1776  0.4670  1 Pd 3.62, 6 Tl 3.65-3.76
Tl  0.1283  0.6618  0.8531  1 Pd 2.84, 1 In 3.13
Tl  0.3373  0.6464  0.1448  1 Pd 2.84, 1 In 3.14
Tl  0.3562  0.1292  0.8553  1 Pd 2.84, 1 In 3.14
In  0.5000  0.5000  0.5000  6 Tl 3.13-3.14
Pd  0.0000  0.0000  0.0000  6 Tl 2.84

Results
**Energy of formation from the pure elements**: -0.066 eV per atom
**N(E_F)**: 4.58 states/eV per cell